Computed, not measured: an optimized crystal structure of CrAgBr2F at the GGA+U level of DFT.

```
CrAgBr2F
1.0
-3.6366 -3.0422 1.7423
4.0097 -3.4099 2.4153
-0.2429 2.7230 4.2476
Cr Br Ag F
1 2 1 1
Direct
0.0000 0.5000 0.0000
0.0000 0.0000 0.5000
0.5000 0.0000 0.0000
0.0000 0.0000 0.0000
0.5000 0.5000 0.5000
```

Values from the calculation:
- SG = No. 123
- relative energy among the computed polymorphs (meV per atom) = 1020
- total moment (μB/f.u.) = 4.9
- crystal system = tetragonal